# 1
First-principles (PBE) data for Tb5Ho5Er2 after structural relaxation, as listed in Alexandria via LeMat-Bulk.

The electronic total energy comes out at -0.16829 Ha/atom. The calculation puts the energy of formation from the pure elements at 0.02 eV/atom.

It has space group C2/m (No. 12), with a = 14.961 Å, b = 4.992 Å, c = 11.150 Å, α = 90.00°, β = 116.55° and γ = 90.00°. Symmetry generates all atoms from Tb at (0.000, 0.000, 0.000), Tb at (0.083, 0.000, 0.750), Tb at (0.166, 0.000, 0.500), Ho at (0.000, 0.500, 0.500), Ho at (0.167, 0.500, 0.000), Ho at (0.249, 0.000, 0.249) and Er at (0.083, 0.500, 0.250).

# 2
First-principles (PBE) data for Tb3Ho7Er2 after structural relaxation, as listed in Alexandria via LeMat-Bulk.

The electronic total energy comes out at -0.16259 Ha/atom. The calculation puts the energy of formation from the pure elements at 0.16 eV/atom.

It has space group Cmmm (No. 65), with a = 5.778 Å, b = 37.031 Å, c = 3.558 Å, α = 90.00°, β = 90.00° and γ = 90.00°. Symmetry generates all atoms from Tb at (0.000, 0.000, 0.000), Tb at (0.000, 0.150, 0.000), Ho at (0.000, 0.073, 0.500), Ho at (0.000, 0.230, 0.500), Ho at (0.000, 0.410, 0.000), Ho at (0.000, 0.500, 0.500) and Er at (0.000, 0.324, 0.500).

# 3
First-principles (PBE) data for TbHo4Er7 after structural relaxation, as listed in Alexandria via LeMat-Bulk.

The electronic total energy comes out at -0.15721 Ha/atom. The calculation puts the energy of formation from the pure elements at 0.30 eV/atom.

It has space group C2/m (No. 12), with a = 11.936 Å, b = 5.786 Å, c = 12.539 Å, α = 90.00°, β = 118.22° and γ = 90.00°. Symmetry generates all atoms from Tb at (0.000, 0.000, 0.000), Ho at (0.136, 0.500, 0.775), Ho at (0.244, 0.000, 0.681), Er at (0.000, 0.500, 0.000), Er at (0.061, 0.000, 0.323), Er at (0.134, 0.500, 0.501) and Er at (0.212, 0.000, 0.924).

# 4
First-principles (PBE) data for Tb5Ho6Er after structural relaxation, as listed in Alexandria via LeMat-Bulk.

The electronic total energy comes out at -0.16424 Ha/atom. The calculation puts the energy of formation from the pure elements at 0.13 eV/atom.

It has space group C2/m (No. 12), with a = 9.367 Å, b = 17.601 Å, c = 5.852 Å, α = 90.00°, β = 128.59° and γ = 90.00°. Symmetry generates all atoms from Tb at (0.000, 0.000, 0.000), Tb at (0.000, 0.166, 0.500), Tb at (0.000, 0.334, 0.000), Ho at (0.249, 0.500, 0.249), Ho at (0.250, 0.167, 0.250) and Er at (0.000, 0.500, 0.500).

Which of these has the lowest electronic total energy?
Tb5Ho5Er2

Which value of energy of formation from the pure elements does entry 4 give?
0.13 eV/atom